An optimized crystal structure of NaFeI2F, computed with PBE with a Hubbard U.

abc: 5.829 5.829 4.032
angles: 90.00 90.00 90.00
Space group P4/mmm (No. 123)
Symmetry-distinct sites (fractional):
Na (0.000, 0.000, 0.000)
Fe (0.500, 0.500, 0.500)
I (0.000, 0.500, 0.500)
F (0.500, 0.500, 0.000)

The energy is -18.24 eV per cell. The mass density is 4.3 Mg/m³.